An optimized crystal structure of CaAc2Pm. Source: Alexandria via LeMat-Bulk, functional PBE.

```
CaAc2Pm
1.0
1.944 1.122 12.668
-1.944 1.122 12.668
0.000 -2.245 12.668
Ca Ac Pm
1 2 1
Direct
0.000 0.000 0.000
0.580 0.580 0.580
0.754 0.754 0.754
0.167 0.167 0.167
```

Results
Crystal system   trigonal
VASP energy   -3.713 eV per atom
Spin magnetization   0.00 μB/f.u.
Space-group type   R3m (160)



An optimized crystal structure of CaAc4Pm. Source: Alexandria via LeMat-Bulk, functional PBE.

```
CaAc4Pm
1.0
0.000 5.158 5.158
5.158 0.000 5.158
5.158 5.158 0.000
Ca Ac Pm
1 4 1
Direct
0.000 0.000 0.000
0.376 0.376 0.376
0.376 0.376 0.873
0.376 0.873 0.376
0.873 0.376 0.376
0.750 0.750 0.750
```

Results
Crystal system   cubic
VASP energy   -3.591 eV per atom
Spin magnetization   0.00 μB/f.u.
Space-group type   F-43m (216)



What is the spin magnetization in the first record? 0.00 μB/f.u.



The lowest VASP energy belongs to which entry? CaAc2Pm



VASP energy of number 2 (CaAc4Pm)? -3.591 eV per atom